1.
DFT (GGA-PBE) results for a relaxed Sc2Ga3Ni crystal.

Values from the calculation:
* V: 17.1 Å³/atom
* DFT formation energy: -0.624 eV per atom

Lattice parameters (Å, degrees): 4.253 5.337 5.390 75.62 66.77 66.52
Fractional coordinates of all 6 atoms:
Sc: 0.529 0.220 0.723
Sc: 0.462 0.789 0.287
Ga: 0.851 0.630 0.667
Ga: 0.822 0.212 0.143
Ga: 0.164 0.773 0.899
Ni: 0.171 0.376 0.281



2.
DFT (GGA-PBE) results for a relaxed Si3Hg5 crystal.

Values from the calculation:
* V: 22.4 Å³/atom
* energy above the lowest structure with this stoichiometry: 132 meV/atom
* ΔE_f (raw): 0.515 eV/atom

Lattice parameters (Å, degrees): 3.781 3.781 12.560 90.00 90.00 90.00
Fractional coordinates of all 8 atoms:
Si: 0.000 0.000 0.500
Si: 0.500 0.500 0.094
Si: 0.500 0.500 0.906
Hg: 0.000 0.000 0.000
Hg: 0.000 0.000 0.242
Hg: 0.000 0.000 0.758
Hg: 0.500 0.500 0.377
Hg: 0.500 0.500 0.623



3.
DFT (GGA-PBE) results for a relaxed Cd2AsW crystal.

Values from the calculation:
* V: 18.8 Å³/atom
* DFT formation energy: 0.572 eV per atom

Lattice parameters (Å, degrees): 5.382 5.382 2.989 90.00 90.00 119.47
Fractional coordinates of all 4 atoms:
As: 0.000 0.500 0.500
W: 0.500 0.000 0.500
Cd: 0.000 0.000 0.000
Cd: 0.500 0.500 0.000



4.
DFT (GGA-PBE) results for a relaxed La2CoSiIr crystal.

Values from the calculation:
* V: 25.6 Å³/atom
* ΔE_f (raw): 0.175 eV/atom

Lattice parameters (Å, degrees): 5.586 4.097 5.586 90.00 90.00 90.00
Each line ends with the local moment (μB).
Fractional coordinates of all 5 atoms:
Si: 0.000 0.000 0.000  0.01
Ir: 0.500 0.500 0.500  0.28
Co: 0.000 0.500 0.000  0.67
La: 0.000 0.000 0.500  -0.04
La: 0.500 0.000 0.000  -0.04